# 1
Compound: ScNbP2
Source: the Alexandria database
Functional: PBE-GGA
Structure: relaxed

```
data_ScNbP2
_chemical_formula_sum 'Sc4 Nb4 P8'
_cell_length_a 6.354
_cell_length_b 6.354
_cell_length_c 6.354
_cell_angle_alpha 90.00
_cell_angle_beta 90.00
_cell_angle_gamma 90.00
_symmetry_space_group_name_H-M 'F m -3 m'
_symmetry_Int_Tables_number 225
_symmetry_space_group_name_Hall '-F 4 2 3'
loop_
_atom_site_label
_atom_site_type_symbol
_atom_site_fract_x
_atom_site_fract_y
_atom_site_fract_z
Sc1 Sc 0.000 0.000 0.000
Nb1 Nb 0.000 0.000 0.500
P1 P 0.250 0.250 0.250
```

Its volume is 64.1 Å³/f.u. The energy of formation comes out at -0.71 eV/atom.


# 2
Compound: ScNbP3
Source: the Alexandria database
Functional: PBE-GGA
Structure: relaxed

```
data_ScNbP3
_chemical_formula_sum 'Sc1 Nb1 P3'
_cell_length_a 4.779
_cell_length_b 4.779
_cell_length_c 4.779
_cell_angle_alpha 90.00
_cell_angle_beta 90.00
_cell_angle_gamma 90.00
_symmetry_space_group_name_H-M 'P m -3 m'
_symmetry_Int_Tables_number 221
_symmetry_space_group_name_Hall '-P 4 2 3'
loop_
_atom_site_label
_atom_site_type_symbol
_atom_site_fract_x
_atom_site_fract_y
_atom_site_fract_z
Sc1 Sc 0.000 0.000 0.000
Nb1 Nb 0.500 0.500 0.500
P1 P 0.000 0.500 0.500
```

Its volume is 109.1 Å³/f.u. The energy of formation comes out at 0.01 eV/atom.


# 3
Compound: ScNbP2
Source: the Alexandria database
Functional: PBE-GGA
Structure: relaxed

```
data_ScNbP2
_chemical_formula_sum 'Sc3 Nb3 P6'
_cell_length_a 3.5751
_cell_length_b 3.5751
_cell_length_c 18.8070
_cell_angle_alpha 90.00
_cell_angle_beta 90.00
_cell_angle_gamma 120.00
_symmetry_space_group_name_H-M 'R 3 m'
_symmetry_Int_Tables_number 160
_symmetry_space_group_name_Hall 'R 3 -2"'
loop_
_atom_site_label
_atom_site_type_symbol
_atom_site_fract_x
_atom_site_fract_y
_atom_site_fract_z
Sc1 Sc 0.0000 0.0000 0.0000
Nb1 Nb 0.0000 0.0000 0.8254
P1 P 0.0000 0.0000 0.4149
P2 P 0.0000 0.0000 0.5748
```

Its volume is 69.4 Å³/f.u. The energy of formation comes out at -1.20 eV/atom.


# 4
Compound: ScNbP2
Source: the Alexandria database
Functional: PBE-GGA
Structure: relaxed

```
data_ScNbP2
_chemical_formula_sum 'Sc4 Nb4 P8'
_cell_length_a 5.780
_cell_length_b 5.780
_cell_length_c 11.361
_cell_angle_alpha 90.00
_cell_angle_beta 90.00
_cell_angle_gamma 90.00
_symmetry_space_group_name_H-M 'I -4 2 d'
_symmetry_Int_Tables_number 122
_symmetry_space_group_name_Hall 'I -4 2bw'
loop_
_atom_site_label
_atom_site_type_symbol
_atom_site_fract_x
_atom_site_fract_y
_atom_site_fract_z
Sc1 Sc 0.000 0.000 0.000
Nb1 Nb 0.000 0.000 0.500
P1 P 0.230 0.250 0.625
```

Its volume is 94.9 Å³/f.u. The energy of formation comes out at -0.47 eV/atom.


# 5
Compound: ScNbP2
Source: the Alexandria database
Functional: PBE-GGA
Structure: relaxed

```
data_ScNbP2
_chemical_formula_sum 'Sc3 Nb3 P6'
_cell_length_a 3.6247
_cell_length_b 3.6247
_cell_length_c 18.2415
_cell_angle_alpha 90.00
_cell_angle_beta 90.00
_cell_angle_gamma 120.00
_symmetry_space_group_name_H-M 'R -3 m'
_symmetry_Int_Tables_number 166
_symmetry_space_group_name_Hall '-R 3 2"'
loop_
_atom_site_label
_atom_site_type_symbol
_atom_site_fract_x
_atom_site_fract_y
_atom_site_fract_z
Sc1 Sc 0.0000 0.0000 0.0000
Nb1 Nb 0.0000 0.0000 0.5000
P1 P 0.0000 0.0000 0.2478
```

Its volume is 69.2 Å³/f.u. The energy of formation comes out at -1.09 eV/atom.


# 6
Compound: ScNb2TlP
Source: the Alexandria database
Functional: PBE-GGA
Structure: relaxed

```
data_ScNb2TlP
_chemical_formula_sum 'Sc1 Nb2 Tl1 P1'
_cell_length_a 4.667
_cell_length_b 4.667
_cell_length_c 4.883
_cell_angle_alpha 90.00
_cell_angle_beta 90.00
_cell_angle_gamma 90.00
_symmetry_space_group_name_H-M 'P 4/m m m'
_symmetry_Int_Tables_number 123
_symmetry_space_group_name_Hall '-P 4 2'
loop_
_atom_site_label
_atom_site_type_symbol
_atom_site_fract_x
_atom_site_fract_y
_atom_site_fract_z
Sc1 Sc 0.000 0.000 0.000
Nb1 Nb 0.000 0.500 0.500
Tl1 Tl 0.500 0.500 0.000
P1 P 0.000 0.000 0.500
```

Its volume is 106.4 Å³/f.u. The energy of formation comes out at -0.07 eV/atom.


# 7
Compound: ScNbPW2
Source: the Alexandria database
Functional: PBE-GGA
Structure: relaxed

```
data_ScNbPW2
_chemical_formula_sum 'Sc1 Nb1 P1 W2'
_cell_length_a 4.724
_cell_length_b 4.724
_cell_length_c 5.168
_cell_angle_alpha 90.00
_cell_angle_beta 90.00
_cell_angle_gamma 90.00
_symmetry_space_group_name_H-M 'P 4/m m m'
_symmetry_Int_Tables_number 123
_symmetry_space_group_name_Hall '-P 4 2'
loop_
_atom_site_label
_atom_site_type_symbol
_atom_site_fract_x
_atom_site_fract_y
_atom_site_fract_z
Sc1 Sc 0.000 0.000 0.000
Nb1 Nb 0.000 0.000 0.500
P1 P 0.500 0.500 0.000
W1 W 0.000 0.500 0.500
```

Its volume is 115.3 Å³/f.u. The energy of formation comes out at 1.83 eV/atom.


# 8
Compound: NbPSe2
Source: the Alexandria database
Functional: PBE-GGA
Structure: relaxed

```
data_NbPSe2
_chemical_formula_sum 'Nb3 P3 Se6'
_cell_length_a 3.3581
_cell_length_b 3.3581
_cell_length_c 25.8899
_cell_angle_alpha 90.00
_cell_angle_beta 90.00
_cell_angle_gamma 120.00
_symmetry_space_group_name_H-M 'R -3 m'
_symmetry_Int_Tables_number 166
_symmetry_space_group_name_Hall '-R 3 2"'
loop_
_atom_site_label
_atom_site_type_symbol
_atom_site_fract_x
_atom_site_fract_y
_atom_site_fract_z
Nb1 Nb 0.0000 0.0000 0.0000
P1 P 0.0000 0.0000 0.5000
Se1 Se 0.0000 0.0000 0.4012
```

Its volume is 84.3 Å³/f.u. The calculation puts the formation energy without anion corrections at -162 meV/atom.


# 9
Compound: NbPSe3
Source: the Alexandria database
Functional: PBE-GGA
Structure: relaxed

```
data_NbPSe3
_chemical_formula_sum 'Nb4 P4 Se12'
_cell_length_a 14.746
_cell_length_b 3.496
_cell_length_c 10.997
_cell_angle_alpha 90.00
_cell_angle_beta 90.00
_cell_angle_gamma 90.00
_symmetry_space_group_name_H-M 'P n m a'
_symmetry_Int_Tables_number 62
_symmetry_space_group_name_Hall '-P 2ac 2n'
loop_
_atom_site_label
_atom_site_type_symbol
_atom_site_fract_x
_atom_site_fract_y
_atom_site_fract_z
Nb1 Nb 0.042 0.250 0.090
P1 P 0.169 0.750 0.333
Se1 Se 0.060 0.250 0.344
Se2 Se 0.084 0.250 0.858
Se3 Se 0.180 0.750 0.123
```

Its volume is 141.7 Å³/f.u. The calculation puts the formation energy without anion corrections at -438 meV/atom.


# 10
Compound: NbPSe3
Source: the Alexandria database
Functional: PBE-GGA
Structure: relaxed

```
data_NbPSe3
_chemical_formula_sum 'Nb1 P1 Se3'
_cell_length_a 4.755
_cell_length_b 4.755
_cell_length_c 4.755
_cell_angle_alpha 90.00
_cell_angle_beta 90.00
_cell_angle_gamma 90.00
_symmetry_space_group_name_H-M 'P m -3 m'
_symmetry_Int_Tables_number 221
_symmetry_space_group_name_Hall '-P 4 2 3'
loop_
_atom_site_label
_atom_site_type_symbol
_atom_site_fract_x
_atom_site_fract_y
_atom_site_fract_z
Nb1 Nb 0.000 0.000 0.000
P1 P 0.500 0.500 0.500
Se1 Se 0.000 0.500 0.500
```

Its volume is 107.5 Å³/f.u. The calculation puts the formation energy without anion corrections at 574 meV/atom.


# 11
Compound: NbP2Se6
Source: the Alexandria database
Functional: PBE-GGA
Structure: relaxed

```
data_NbP2Se6
_chemical_formula_sum 'Nb4 P8 Se24'
_cell_length_a 12.842
_cell_length_b 15.025
_cell_length_c 6.280
_cell_angle_alpha 90.00
_cell_angle_beta 108.82
_cell_angle_gamma 90.00
_symmetry_space_group_name_H-M 'C 1 2/c 1'
_symmetry_Int_Tables_number 15
_symmetry_space_group_name_Hall '-C 2yc'
loop_
_atom_site_label
_atom_site_type_symbol
_atom_site_fract_x
_atom_site_fract_y
_atom_site_fract_z
Nb1 Nb 0.000 0.106 0.250
P1 P 0.209 0.428 0.234
Se1 Se 0.102 0.057 0.668
Se2 Se 0.142 0.200 0.224
Se3 Se 0.148 0.439 0.541
```

Its volume is 286.8 Å³/f.u. The calculation puts the formation energy without anion corrections at -131 meV/atom.


# 12
Compound: Nb4PSe5
Source: the Alexandria database
Functional: PBE-GGA
Structure: relaxed

```
data_Nb4PSe5
_chemical_formula_sum 'Nb8 P2 Se10'
_cell_length_a 16.176
_cell_length_b 3.597
_cell_length_c 7.444
_cell_angle_alpha 90.00
_cell_angle_beta 102.20
_cell_angle_gamma 90.00
_symmetry_space_group_name_H-M 'C 1 2/m 1'
_symmetry_Int_Tables_number 12
_symmetry_space_group_name_Hall '-C 2y'
loop_
_atom_site_label
_atom_site_type_symbol
_atom_site_fract_x
_atom_site_fract_y
_atom_site_fract_z
Nb1 Nb 0.000 0.000 0.216
Nb2 Nb 0.149 0.500 0.073
P1 P 0.000 0.500 0.000
Se1 Se 0.000 0.500 0.500
Se2 Se 0.164 0.000 0.337
Se3 Se 0.173 0.000 0.824
```

Its volume is 211.7 Å³/f.u. The calculation puts the formation energy without anion corrections at -747 meV/atom.